Record 1
# CaTeRu2, optimized geometry, DFT GGA-PBE
# Space-group type: C2/m
# Uncorrected formation energy (kJ per mole of atoms): 34.6
data_CaTeRu2
_space_group_name_H-M_alt 'P 1'
_space_group_IT_number 1
_cell_length_a 5.463
_cell_length_b 5.327
_cell_length_c 3.085
_cell_angle_alpha 88.89
_cell_angle_beta 74.17
_cell_angle_gamma 118.82
loop_
_space_group_symop_operation_xyz
'x,y,z'
loop_
_atom_site_label
_atom_site_type_symbol
_atom_site_fract_x
_atom_site_fract_y
_atom_site_fract_z
Ru1 Ru 0.000 0.000 0.000
Ru2 Ru 0.000 0.500 0.500
Ca1 Ca 0.500 0.000 0.500
Te1 Te 0.500 0.500 0.000

---

Record 2
# CaTeRu2, optimized geometry, DFT GGA-PBE
# Space-group type: I-42d
# Uncorrected formation energy (kJ per mole of atoms): 41.6
data_CaTeRu2
_space_group_name_H-M_alt 'P 1'
_space_group_IT_number 1
_cell_length_a 7.599
_cell_length_b 7.599
_cell_length_c 6.173
_cell_angle_alpha 52.01
_cell_angle_beta 52.01
_cell_angle_gamma 90.00
loop_
_space_group_symop_operation_xyz
'x,y,z'
loop_
_atom_site_label
_atom_site_type_symbol
_atom_site_fract_x
_atom_site_fract_y
_atom_site_fract_z
Ru1 Ru 0.688 0.125 0.250
Ru2 Ru 0.062 0.625 0.250
Ru3 Ru 0.375 0.312 0.750
Ru4 Ru 0.875 0.938 0.750
Ca1 Ca 0.500 0.500 0.000
Ca2 Ca 0.250 0.750 0.500
Te1 Te 0.000 0.000 0.000
Te2 Te 0.750 0.250 0.500

---

Record 3
# Ca3TeRu, optimized geometry, DFT GGA-PBE
# Space-group type: Pm-3m
# Distance to the lowest polymorph of the same formula (meV per atom): 0
# Uncorrected formation energy (kJ per mole of atoms): -26.0
data_Ca3TeRu
_space_group_name_H-M_alt 'P 1'
_space_group_IT_number 1
_cell_length_a 5.367
_cell_length_b 5.367
_cell_length_c 5.367
_cell_angle_alpha 90.00
_cell_angle_beta 90.00
_cell_angle_gamma 90.00
loop_
_space_group_symop_operation_xyz
'x,y,z'
loop_
_atom_site_label
_atom_site_type_symbol
_atom_site_fract_x
_atom_site_fract_y
_atom_site_fract_z
Ru1 Ru 0.000 0.000 0.000
Ca1 Ca 0.000 0.500 0.000
Ca2 Ca 0.000 0.000 0.500
Ca3 Ca 0.500 0.000 0.000
Te1 Te 0.500 0.500 0.500

---

Record 4
# Ca2VTeRu, optimized geometry, DFT GGA-PBE
# Space-group type: P4/mmm
# Uncorrected formation energy (kJ per mole of atoms): 29.5
data_Ca2VTeRu
_space_group_name_H-M_alt 'P 1'
_space_group_IT_number 1
_cell_length_a 5.736
_cell_length_b 4.319
_cell_length_c 5.736
_cell_angle_alpha 90.00
_cell_angle_beta 90.00
_cell_angle_gamma 90.00
loop_
_space_group_symop_operation_xyz
'x,y,z'
loop_
_atom_site_label
_atom_site_type_symbol
_atom_site_fract_x
_atom_site_fract_y
_atom_site_fract_z
Ru1 Ru 0.000 0.500 0.000
Ca1 Ca 0.000 0.000 0.500
Ca2 Ca 0.500 0.000 0.000
Te1 Te 0.500 0.500 0.500
V1 V 0.000 0.000 0.000

---

Record 5
# CaTh2Ru, optimized geometry, DFT GGA-PBE
# Space-group type: R-3m
# Distance to the lowest polymorph of the same formula (meV per atom): 131
# Formation energy from the elements (eV/atom): -0.039
data_CaTh2Ru
_space_group_name_H-M_alt 'P 1'
_space_group_IT_number 1
_cell_length_a 3.968
_cell_length_b 3.968
_cell_length_c 10.902
_cell_angle_alpha 79.51
_cell_angle_beta 79.51
_cell_angle_gamma 60.00
loop_
_space_group_symop_operation_xyz
'x,y,z'
loop_
_atom_site_label
_atom_site_type_symbol
_atom_site_fract_x
_atom_site_fract_y
_atom_site_fract_z
Ru1 Ru 0.500 0.500 0.500
Ca1 Ca 0.000 0.000 0.000
Th1 Th 0.117 0.117 0.649
Th2 Th 0.883 0.883 0.351

---

Record 6
# CaThRu2, optimized geometry, DFT GGA-PBE
# Space-group type: P4/mmm
# Formation energy from the elements (eV/atom): -0.147
data_CaThRu2
_space_group_name_H-M_alt 'P 1'
_space_group_IT_number 1
_cell_length_a 3.498
_cell_length_b 3.498
_cell_length_c 7.023
_cell_angle_alpha 90.00
_cell_angle_beta 90.00
_cell_angle_gamma 90.00
loop_
_space_group_symop_operation_xyz
'x,y,z'
loop_
_atom_site_label
_atom_site_type_symbol
_atom_site_fract_x
_atom_site_fract_y
_atom_site_fract_z
Ru1 Ru 0.000 0.000 0.782
Ru2 Ru 0.000 0.000 0.218
Ca1 Ca 0.500 0.500 0.500
Th1 Th 0.500 0.500 0.000

---

Record 7
# CaThRu, optimized geometry, DFT GGA-PBE
# Space-group type: C2/m
# Distance to the lowest polymorph of the same formula (meV per atom): 0
# Formation energy from the elements (eV/atom): -0.211
data_CaThRu
_space_group_name_H-M_alt 'P 1'
_space_group_IT_number 1
_cell_length_a 4.712
_cell_length_b 4.737
_cell_length_c 9.043
_cell_angle_alpha 74.98
_cell_angle_beta 90.00
_cell_angle_gamma 119.83
loop_
_space_group_symop_operation_xyz
'x,y,z'
loop_
_atom_site_label
_atom_site_type_symbol
_atom_site_fract_x
_atom_site_fract_y
_atom_site_fract_z
Th1 Th 0.121 0.242 0.138
Th2 Th 0.879 0.758 0.862
Ca1 Ca 0.371 0.743 0.386
Ca2 Ca 0.629 0.257 0.614
Ru1 Ru 0.234 0.468 0.798
Ru2 Ru 0.766 0.532 0.202

---

Record 8
# CaTh2Ru, optimized geometry, DFT GGA-PBE
# Space-group type: R3m
# Distance to the lowest polymorph of the same formula (meV per atom): 0
# Formation energy from the elements (eV/atom): -0.170
data_CaTh2Ru
_space_group_name_H-M_alt 'P 1'
_space_group_IT_number 1
_cell_length_a 4.068
_cell_length_b 4.068
_cell_length_c 9.651
_cell_angle_alpha 77.83
_cell_angle_beta 77.83
_cell_angle_gamma 60.00
loop_
_space_group_symop_operation_xyz
'x,y,z'
loop_
_atom_site_label
_atom_site_type_symbol
_atom_site_fract_x
_atom_site_fract_y
_atom_site_fract_z
Ca1 Ca 0.501 0.501 0.497
Th1 Th 0.055 0.055 0.836
Th2 Th 0.279 0.279 0.164
Ru1 Ru 0.666 0.666 0.003

---

Record 9
# CaThRu4, optimized geometry, DFT GGA-PBE
# Space-group type: F-43m
# Formation energy from the elements (eV/atom): -0.127
data_CaThRu4
_space_group_name_H-M_alt 'P 1'
_space_group_IT_number 1
_cell_length_a 5.392
_cell_length_b 5.392
_cell_length_c 5.392
_cell_angle_alpha 60.00
_cell_angle_beta 60.00
_cell_angle_gamma 60.00
loop_
_space_group_symop_operation_xyz
'x,y,z'
loop_
_atom_site_label
_atom_site_type_symbol
_atom_site_fract_x
_atom_site_fract_y
_atom_site_fract_z
Ru1 Ru 0.625 0.625 0.126
Ru2 Ru 0.625 0.126 0.625
Ru3 Ru 0.625 0.625 0.625
Ru4 Ru 0.126 0.625 0.625
Ca1 Ca 0.250 0.250 0.250
Th1 Th 0.000 0.000 0.000

---

Record 10
# CaThRu, optimized geometry, DFT GGA-PBE
# Space-group type: I4mm
# Distance to the lowest polymorph of the same formula (meV per atom): 37
# Formation energy from the elements (eV/atom): -0.174
data_CaThRu
_space_group_name_H-M_alt 'P 1'
_space_group_IT_number 1
_cell_length_a 3.517
_cell_length_b 3.517
_cell_length_c 7.118
_cell_angle_alpha 104.30
_cell_angle_beta 104.30
_cell_angle_gamma 90.00
loop_
_space_group_symop_operation_xyz
'x,y,z'
loop_
_atom_site_label
_atom_site_type_symbol
_atom_site_fract_x
_atom_site_fract_y
_atom_site_fract_z
Ru1 Ru 0.681 0.681 0.362
Ca1 Ca 0.031 0.031 0.061
Th1 Th 0.288 0.288 0.577

---

Record 11
# CaTiRu3, optimized geometry, DFT GGA-PBE
# Space-group type: Pm-3m
# Distance to the lowest polymorph of the same formula (meV per atom): 0
# Formation energy from the elements (eV/atom): 0.628
data_CaTiRu3
_space_group_name_H-M_alt 'P 1'
_space_group_IT_number 1
_cell_length_a 4.609
_cell_length_b 4.609
_cell_length_c 4.609
_cell_angle_alpha 90.00
_cell_angle_beta 90.00
_cell_angle_gamma 90.00
loop_
_space_group_symop_operation_xyz
'x,y,z'
loop_
_atom_site_label
_atom_site_type_symbol
_atom_site_fract_x
_atom_site_fract_y
_atom_site_fract_z
Ru1 Ru 0.000 0.500 0.000
Ru2 Ru 0.000 0.000 0.500
Ru3 Ru 0.500 0.000 0.000
Ca1 Ca 0.500 0.500 0.500
Ti1 Ti 0.000 0.000 0.000

---

Record 12
# Ca2TiRu2, optimized geometry, DFT GGA-PBE
# Space-group type: P4/mbm
# Formation energy from the elements (eV/atom): 0.037
data_Ca2TiRu2
_space_group_name_H-M_alt 'P 1'
_space_group_IT_number 1
_cell_length_a 6.528
_cell_length_b 6.528
_cell_length_c 4.901
_cell_angle_alpha 90.00
_cell_angle_beta 90.00
_cell_angle_gamma 90.00
loop_
_space_group_symop_operation_xyz
'x,y,z'
loop_
_atom_site_label
_atom_site_type_symbol
_atom_site_fract_x
_atom_site_fract_y
_atom_site_fract_z
Ru1 Ru 0.364 0.864 0.000
Ru2 Ru 0.864 0.636 0.000
Ru3 Ru 0.636 0.136 0.000
Ru4 Ru 0.136 0.364 0.000
Ca1 Ca 0.174 0.674 0.500
Ca2 Ca 0.674 0.826 0.500
Ca3 Ca 0.826 0.326 0.500
Ca4 Ca 0.326 0.174 0.500
Ti1 Ti 0.000 0.000 0.000
Ti2 Ti 0.500 0.500 0.000

---

Number 1: total moment 0.00 μB per cell. Number 2: total moment 0.00 μB per cell. Number 3: total moment 0.00 μB per cell. Number 4: total moment 2.06 μB per cell. Number 5: total moment 0.00 μB per cell. Number 6: total moment 0.00 μB per cell. Number 7: total moment 0.00 μB per cell. Number 8: total moment 0.00 μB per cell. Number 9: total moment 0.00 μB per cell. Number 10: total moment 0.00 μB per cell. Number 11: total moment 0.29 μB per cell. Number 12: total moment 0.00 μB per cell.